Density functional theory data (PBE-GGA) for crystalline Pm5MgZn4 at its relaxed geometry.

a b c (Å): 3.6769 3.6769 18.7790
angles (deg): 90.00 90.00 90.00
Last column: nearest neighbours and their distance in Å.
Atoms (fractional coordinates):
Pm1 0.0000 0.0000 0.0000  8 Zn 3.18
Pm2 0.0000 0.0000 0.1938  8 Zn 3.17-3.19
Pm3 0.0000 0.0000 0.3846  4 Zn 3.12, 4 Mg 3.38
Pm4 0.0000 0.0000 0.6154  4 Zn 3.12, 4 Mg 3.38
Pm5 0.0000 0.0000 0.8062  8 Zn 3.17-3.19
Mg1 0.5000 0.5000 0.5000  8 Pm 3.38, 4 Mg 3.68
Zn1 0.5000 0.5000 0.0972  8 Pm 3.17-3.18
Zn2 0.5000 0.5000 0.2926  8 Pm 3.12-3.19
Zn3 0.5000 0.5000 0.7074  8 Pm 3.12-3.19
Zn4 0.5000 0.5000 0.9028  8 Pm 3.17-3.18

- V: 25.4 A^3/atom
- Space group: P4/mmm (123)
- Electronic total energy: -3.319 eV per atom
- DFT formation energy: -0.275 eV per atom